Entry 1:
{"formula": "Ca2ScAg", "functional": "PBE-GGA", "state": "optimized geometry", "formation_enthalpy_0k_mev_per_atom": 3, "de_polymorph_kj_per_mol_atoms": 7.27, "lattice_angstrom": [[3.879, 0.000, 0.000], [0.000, 3.879, 0.000], [0.000, 0.000, 7.540]], "species": ["Ca", "Ca", "Sc", "Ag"], "frac_coords": [[0.000, 0.000, 0.231], [0.000, 0.000, 0.769], [0.500, 0.500, 0.500], [0.500, 0.500, 0.000]]}



Entry 2:
{"formula": "Ca2ScAg", "functional": "PBE-GGA", "state": "optimized geometry", "formation_enthalpy_0k_mev_per_atom": -17, "de_polymorph_kj_per_mol_atoms": 5.36, "lattice_angstrom": [[-1.815, 2.793, 5.764], [1.815, -2.793, 5.764], [1.815, 2.793, -5.764]], "species": ["Ca", "Ca", "Sc", "Ag"], "frac_coords": [[0.000, 0.000, 0.000], [0.706, 0.206, 0.500], [0.293, 0.793, 0.500], [0.483, 0.483, 0.000]]}



Entry 3:
{"formula": "Ca2ScAg", "functional": "PBE-GGA", "state": "optimized geometry", "formation_enthalpy_0k_mev_per_atom": 129, "de_polymorph_kj_per_mol_atoms": 19.44, "lattice_angstrom": [[-2.331, 2.331, 5.234], [2.331, -2.331, 5.234], [2.331, 2.331, -5.234]], "species": ["Ca", "Ca", "Sc", "Ag"], "frac_coords": [[0.000, 0.000, 0.000], [0.750, 0.250, 0.500], [0.250, 0.750, 0.500], [0.500, 0.500, 0.000]]}



Entry 4:
{"formula": "Ca4ScAg5", "functional": "PBE-GGA", "state": "optimized geometry", "formation_enthalpy_0k_mev_per_atom": -294, "lattice_angstrom": [[3.647, 0.000, 0.000], [0.000, 3.647, 0.000], [0.000, 0.000, 18.315]], "species": ["Ca", "Ca", "Ca", "Ca", "Sc", "Ag", "Ag", "Ag", "Ag", "Ag"], "frac_coords": [[0.000, 0.000, 0.102], [0.000, 0.000, 0.308], [0.000, 0.000, 0.692], [0.000, 0.000, 0.898], [0.000, 0.000, 0.500], [0.500, 0.500, 0.000], [0.500, 0.500, 0.204], [0.500, 0.500, 0.417], [0.500, 0.500, 0.583], [0.500, 0.500, 0.796]]}



Copy entry 3 word for word.
{"formula": "Ca2ScAg", "functional": "PBE-GGA", "state": "optimized geometry", "formation_enthalpy_0k_mev_per_atom": 129, "de_polymorph_kj_per_mol_atoms": 19.44, "lattice_angstrom": [[-2.331, 2.331, 5.234], [2.331, -2.331, 5.234], [2.331, 2.331, -5.234]], "species": ["Ca", "Ca", "Sc", "Ag"], "frac_coords": [[0.000, 0.000, 0.000], [0.750, 0.250, 0.500], [0.250, 0.750, 0.500], [0.500, 0.500, 0.000]]}